# FeNiIr2

A relaxed structure of FeNiIr2 (GGA-PBEsol, Alexandria via LeMat-Bulk).

```
FeNiIr2
1.0
-1.876 1.876 3.526
1.876 -1.876 3.526
1.876 1.876 -3.526
Fe Ni Ir
1 1 2
direct
0.000 0.000 0.000 Fe
0.500 0.500 0.000 Ni
0.250 0.750 0.500 Ir
0.750 0.250 0.500 Ir
```

Calculated values
energy relative to the elements: -25 meV per atom
uncorrected energy: -0.641 Ry/atom
magnetic moment: 2.13 μB/cell
density: 16688 kg/m³


# HfAg3Ge

A relaxed structure of HfAg3Ge (GGA-PBEsol, Alexandria via LeMat-Bulk).

```
HfAg3Ge
1.0
5.078 0.000 0.000
0.000 5.078 0.000
0.000 0.000 5.078
Hf Ag Ge
1 3 1
direct
0.000 0.000 0.000 Hf
0.000 0.000 0.500 Ag
0.000 0.500 0.000 Ag
0.500 0.000 0.000 Ag
0.500 0.500 0.500 Ge
```

Calculated values
energy relative to the elements: 1409 meV per atom
uncorrected energy: -0.269 Ry/atom
magnetic moment: 0.00 μB/cell
density: 7289 kg/m³


Number 2 is which compound? HfAg3Ge